The following is a PBEsol calculation of a relaxed structure of SbRu2Au, from Alexandria.

Calculated values
crystal system = trigonal
symmetry = R-3m, No. 166
E_form (uncorrected) = 0.378 eV per atom

Unit cell a=8.4996 b=8.4996 c=8.4996 alpha=20.36 beta=20.36 gamma=20.36
Positions (direct):
1 Sb 0.0000 0.0000 0.0000
2 Ru 0.2543 0.2543 0.2543
3 Ru 0.7457 0.7457 0.7457
4 Au 0.5000 0.5000 0.5000